1.
# ThPa3As4 (PBE, optimized geometry)
# energy of formation = -1.135 eV per atom
# total magnetization = 0.00 μB/f.u.
# electronic total energy = -7.948 eV/atom
# DOS at the Fermi energy = 8.372 states/eV per cell
data_ThPa3As4
_chemical_formula_sum 'Th1 Pa3 As4'
_space_group_name_H-M_alt 'P 1'
_space_group_IT_number 1
_space_group_name_Hall 'P 1'
_cell_length_a 7.1607
_cell_length_b 7.1607
_cell_length_c 4.1346
_cell_angle_alpha 90.00
_cell_angle_beta 90.00
_cell_angle_gamma 109.46
loop_
_atom_site_label
_atom_site_type_symbol
_atom_site_fract_x
_atom_site_fract_y
_atom_site_fract_z
Th1 Th 0.0000 0.0000 0.0000
Pa1 Pa 0.0000 0.5000 0.5000
Pa2 Pa 0.5000 0.0000 0.5000
Pa3 Pa 0.5000 0.5000 0.0000
As1 As 0.2536 0.7464 0.0000
As2 As 0.2575 0.2575 0.5000
As3 As 0.7425 0.7425 0.5000
As4 As 0.7464 0.2536 0.0000


2.
# ThPa2As3 (PBE, optimized geometry)
# energy of formation = -1.155 eV per atom
# total magnetization = 0.00 μB/f.u.
# electronic total energy = -7.881 eV/atom
# DOS at the Fermi energy = 6.355 states/eV per cell
data_ThPa2As3
_chemical_formula_sum 'Th1 Pa2 As3'
_space_group_name_H-M_alt 'P 1'
_space_group_IT_number 1
_space_group_name_Hall 'P 1'
_cell_length_a 9.2699
_cell_length_b 9.2699
_cell_length_c 9.2699
_cell_angle_alpha 154.12
_cell_angle_beta 154.12
_cell_angle_gamma 36.92
loop_
_atom_site_label
_atom_site_type_symbol
_atom_site_fract_x
_atom_site_fract_y
_atom_site_fract_z
Th1 Th 0.0000 0.0000 0.0000
Pa1 Pa 0.3334 0.3334 0.0000
Pa2 Pa 0.6666 0.6666 0.0000
As1 As 0.1691 0.1691 0.0000
As2 As 0.5000 0.5000 0.0000
As3 As 0.8309 0.8309 0.0000


3.
# Th4PaAs6 (PBE, optimized geometry)
# energy of formation = -1.139 eV per atom
# total magnetization = 0.00 μB/f.u.
# electronic total energy = -7.236 eV/atom
# DOS at the Fermi energy = 14.508 states/eV per cell
data_Th4PaAs6
_chemical_formula_sum 'Th8 Pa2 As12'
_space_group_name_H-M_alt 'P 1'
_space_group_IT_number 1
_space_group_name_Hall 'P 1'
_cell_length_a 8.2979
_cell_length_b 8.2979
_cell_length_c 8.2979
_cell_angle_alpha 89.96
_cell_angle_beta 89.96
_cell_angle_gamma 89.96
loop_
_atom_site_label
_atom_site_type_symbol
_atom_site_fract_x
_atom_site_fract_y
_atom_site_fract_z
Th1 Th 0.1341 0.7500 0.3659
Th2 Th 0.2500 0.2500 0.2500
Th3 Th 0.2500 0.6341 0.8659
Th4 Th 0.3659 0.1341 0.7500
Th5 Th 0.6341 0.8659 0.2500
Th6 Th 0.7500 0.3659 0.1341
Th7 Th 0.7500 0.7500 0.7500
Th8 Th 0.8659 0.2500 0.6341
Pa1 Pa 0.0000 0.0000 0.0000
Pa2 Pa 0.5000 0.5000 0.5000
As1 As 0.0641 0.9159 0.6777
As2 As 0.0841 0.3223 0.9359
As3 As 0.1777 0.4159 0.5641
As4 As 0.3223 0.9359 0.0841
As5 As 0.4159 0.5641 0.1777
As6 As 0.4359 0.8223 0.5841
As7 As 0.5641 0.1777 0.4159
As8 As 0.5841 0.4359 0.8223
As9 As 0.6777 0.0641 0.9159
As10 As 0.8223 0.5841 0.4359
As11 As 0.9159 0.6777 0.0641
As12 As 0.9359 0.0841 0.3223


4.
# Th4PaAs5 (PBE, optimized geometry)
# energy of formation = -1.322 eV per atom
# total magnetization = 0.00 μB/f.u.
# electronic total energy = -7.564 eV/atom
# DOS at the Fermi energy = 8.148 states/eV per cell
data_Th4PaAs5
_chemical_formula_sum 'Th4 Pa1 As5'
_space_group_name_H-M_alt 'P 1'
_space_group_IT_number 1
_space_group_name_Hall 'P 1'
_cell_length_a 7.3106
_cell_length_b 7.3106
_cell_length_c 7.3106
_cell_angle_alpha 99.61
_cell_angle_beta 99.61
_cell_angle_gamma 131.76
loop_
_atom_site_label
_atom_site_type_symbol
_atom_site_fract_x
_atom_site_fract_y
_atom_site_fract_z
Th1 Th 0.0964 0.3011 0.3975
Th2 Th 0.3011 0.9036 0.2047
Th3 Th 0.6989 0.0964 0.7953
Th4 Th 0.9036 0.6989 0.6025
Pa1 Pa 0.5000 0.5000 0.0000
As1 As 0.0000 0.0000 0.0000
As2 As 0.2074 0.5993 0.8067
As3 As 0.4007 0.2074 0.6082
As4 As 0.5993 0.7926 0.3918
As5 As 0.7926 0.4007 0.1933


5.
# ThPaAs (PBE, optimized geometry)
# energy of formation = -0.134 eV per atom
# total magnetization = 0.01 μB/f.u.
# electronic total energy = -7.322 eV/atom
# energy above the most stable polymorph in this dataset = 0.2829 eV/atom
# DOS at the Fermi energy = 5.981 states/eV per cell
data_ThPaAs
_chemical_formula_sum 'Th1 Pa1 As1'
_space_group_name_H-M_alt 'P 1'
_space_group_IT_number 1
_space_group_name_Hall 'P 1'
_cell_length_a 4.9872
_cell_length_b 4.9872
_cell_length_c 3.6051
_cell_angle_alpha 90.00
_cell_angle_beta 90.00
_cell_angle_gamma 120.00
loop_
_atom_site_label
_atom_site_type_symbol
_atom_site_fract_x
_atom_site_fract_y
_atom_site_fract_z
Th1 Th 0.0000 0.0000 0.0000
Pa1 Pa 0.3333 0.6667 0.5000
As1 As 0.6667 0.3333 0.5014


6.
# Tm2ThPaAs4 (PBE, optimized geometry)
# energy of formation = -1.346 eV per atom
# total magnetization = 0.00 μB/f.u.
# electronic total energy = -6.903 eV/atom
# DOS at the Fermi energy = 6.285 states/eV per cell
data_Tm2ThPaAs4
_chemical_formula_sum 'Tm2 Th1 Pa1 As4'
_space_group_name_H-M_alt 'P 1'
_space_group_IT_number 1
_space_group_name_Hall 'P 1'
_cell_length_a 7.1002
_cell_length_b 4.1274
_cell_length_c 7.1477
_cell_angle_alpha 90.00
_cell_angle_beta 109.58
_cell_angle_gamma 90.00
loop_
_atom_site_label
_atom_site_type_symbol
_atom_site_fract_x
_atom_site_fract_y
_atom_site_fract_z
Tm1 Tm 0.0000 0.0000 0.0000
Tm2 Tm 0.0000 0.5000 0.5000
Th1 Th 0.5000 0.0000 0.5000
Pa1 Pa 0.5000 0.5000 0.0000
As1 As 0.2412 0.5000 0.2406
As2 As 0.2440 0.0000 0.7538
As3 As 0.7560 0.0000 0.2462
As4 As 0.7588 0.5000 0.7594